[1]
Computed, not measured: crystalline NdSmPt4 at its relaxed geometry at the GGA-PBE level of DFT.

a = 5.5024 Å, b = 5.5024 Å, c = 5.5024 Å
α = 60.00°, β = 60.00°, γ = 60.00°
With the nearest neighbours (Å) after each atom.
Element x y z (fractional)
Nd 0.0000 0.0000 0.0000  12 Pt 3.23, 4 Sm 3.37
Sm 0.7500 0.7500 0.7500  12 Pt 3.23, 4 Nd 3.37
Pt 0.3751 0.3751 0.3751  6 Pt 2.75
Pt 0.3751 0.3751 0.8746  6 Pt 2.75
Pt 0.3751 0.8746 0.3751  6 Pt 2.75
Pt 0.8746 0.3751 0.3751  6 Pt 2.75

Properties
space-group type = F-43m

[2]
Computed, not measured: crystalline Nd4SmPt2 at its relaxed geometry at the GGA-PBE level of DFT.

a = 7.9986 Å, b = 6.6296 Å, c = 8.3522 Å
α = 90.00°, β = 113.79°, γ = 90.00°
With the nearest neighbours (Å) after each atom.
Element x y z (fractional)
Nd 0.0114 0.2500 0.3824  2 Pt 2.81-2.96
Nd 0.2521 0.7500 0.3508  2 Pt 2.88-2.93
Nd 0.4116 0.0099 0.7709  4 Pt 3.15-3.36, 3 Nd 3.18-3.51
Nd 0.4116 0.4901 0.7709  4 Pt 3.15-3.36, 3 Nd 3.18-3.51
Nd 0.5884 0.5099 0.2291  4 Pt 3.15-3.36, 3 Nd 3.18-3.51
Nd 0.5884 0.9901 0.2291  4 Pt 3.15-3.36, 3 Nd 3.18-3.51
Nd 0.7479 0.2500 0.6492  2 Pt 2.88-2.93
Nd 0.9886 0.7500 0.6176  2 Pt 2.81-2.96
Sm 0.1504 0.2500 0.0284  2 Pt 2.90-3.01
Sm 0.8496 0.7500 0.9716  2 Pt 2.90-3.01
Pt 0.2348 0.7500 0.9935  6 Nd 2.93-3.25, 1 Sm 3.01
Pt 0.3711 0.2500 0.4024  2 Nd 2.81-2.88, 1 Sm 2.90
Pt 0.6289 0.7500 0.5976  2 Nd 2.81-2.88, 1 Sm 2.90
Pt 0.7652 0.2500 0.0065  6 Nd 2.93-3.25, 1 Sm 3.01

Properties
space-group type = P2_1/m

[3]
Computed, not measured: crystalline NdSmPt at its relaxed geometry at the GGA-PBE level of DFT.

a = 4.7094 Å, b = 4.7094 Å, c = 4.3259 Å
α = 90.00°, β = 90.00°, γ = 120.00°
With the nearest neighbours (Å) after each atom.
Element x y z (fractional)
Nd 0.0000 0.0000 0.0000  3 Pt 2.99
Sm 0.6667 0.3333 0.5331  3 Pt 2.92
Pt 0.3333 0.6667 0.2864  3 Sm 2.92, 3 Nd 2.99

Properties
space-group type = P3m1

[4]
Computed, not measured: crystalline Nd2Sm2Pt3 at its relaxed geometry at the GGA-PBE level of DFT.

a = 7.7736 Å, b = 7.7736 Å, c = 7.7736 Å
α = 109.47°, β = 109.47°, γ = 109.47°
With the nearest neighbours (Å) after each atom.
Element x y z (fractional)
Nd 0.0000 0.1229 0.5000  3 Pt 2.90
Nd 0.1229 0.5000 0.0000  3 Pt 2.90
Nd 0.3771 0.3771 0.3771  3 Pt 2.90
Nd 0.5000 0.0000 0.1229  3 Pt 2.90
Sm 0.0000 0.6211 0.5000  3 Pt 2.91
Sm 0.5000 0.0000 0.6211  3 Pt 2.91
Sm 0.6211 0.5000 0.0000  3 Pt 2.91
Sm 0.8789 0.8789 0.8789  3 Pt 2.91
Pt 0.1208 0.8708 0.2500  2 Nd 2.90, 2 Sm 2.91
Pt 0.2500 0.1208 0.8708  2 Nd 2.90, 2 Sm 2.91
Pt 0.3792 0.6292 0.7500  2 Nd 2.90, 2 Sm 2.91
Pt 0.6292 0.7500 0.3792  2 Nd 2.90, 2 Sm 2.91
Pt 0.7500 0.3792 0.6292  2 Nd 2.90, 2 Sm 2.91
Pt 0.8708 0.2500 0.1208  2 Nd 2.90, 2 Sm 2.91

Properties
space-group type = I2_13

[5]
Computed, not measured: crystalline NdSm3Pt2 at its relaxed geometry at the GGA-PBE level of DFT.

a = 7.3876 Å, b = 7.3876 Å, c = 7.9013 Å
α = 105.51°, β = 105.51°, γ = 55.71°
With the nearest neighbours (Å) after each atom.
Element x y z (fractional)
Nd 0.2498 0.7502 0.7500  4 Pt 3.04, 1 Sm 3.39
Nd 0.7502 0.2498 0.2500  4 Pt 3.04, 1 Sm 3.39
Sm 0.2410 0.7590 0.2500  4 Pt 3.01
Sm 0.2847 0.2860 0.8927  2 Pt 2.82
Sm 0.2860 0.2847 0.3927  2 Pt 2.82
Sm 0.7140 0.7153 0.6073  2 Pt 2.82
Sm 0.7153 0.7140 0.1073  2 Pt 2.82
Sm 0.7590 0.2410 0.7500  4 Pt 3.01
Pt 0.1233 0.1245 0.5621  4 Sm 2.82-3.01, 2 Nd 3.04, 1 Pt 3.09
Pt 0.1245 0.1233 0.0621  4 Sm 2.82-3.01, 2 Nd 3.04, 1 Pt 3.09
Pt 0.8755 0.8767 0.9379  4 Sm 2.82-3.01, 2 Nd 3.04, 1 Pt 3.09
Pt 0.8767 0.8755 0.4379  4 Sm 2.82-3.01, 2 Nd 3.04, 1 Pt 3.09

Properties
space-group type = C2/c

[6]
Computed, not measured: crystalline NdSmPt at its relaxed geometry at the GGA-PBE level of DFT.

a = 7.0710 Å, b = 7.0710 Å, c = 7.0710 Å
α = 90.00°, β = 90.00°, γ = 90.00°
With the nearest neighbours (Å) after each atom.
Element x y z (fractional)
Nd 0.0000 0.0000 0.0000  4 Pt 3.06
Nd 0.0000 0.5000 0.5000  4 Pt 3.06
Nd 0.5000 0.0000 0.5000  4 Pt 3.06
Nd 0.5000 0.5000 0.0000  4 Pt 3.06
Sm 0.0000 0.0000 0.5000  4 Pt 3.06
Sm 0.0000 0.5000 0.0000  4 Pt 3.06
Sm 0.5000 0.0000 0.0000  4 Pt 3.06
Sm 0.5000 0.5000 0.5000  4 Pt 3.06
Pt 0.2500 0.2500 0.2500  4 Nd 3.06, 4 Sm 3.06
Pt 0.2500 0.7500 0.7500  4 Sm 3.06, 4 Nd 3.06
Pt 0.7500 0.2500 0.7500  4 Sm 3.06, 4 Nd 3.06
Pt 0.7500 0.7500 0.2500  4 Sm 3.06, 4 Nd 3.06

Properties
space-group type = F-43m

[7]
Computed, not measured: crystalline Nd5Sm2Pt4 at its relaxed geometry at the GGA-PBE level of DFT.

a = 12.7052 Å, b = 12.7052 Å, c = 6.9744 Å
α = 92.94°, β = 92.94°, γ = 17.41°
With the nearest neighbours (Å) after each atom.
Element x y z (fractional)
Nd 0.0000 0.0000 0.0000  4 Pt 2.91
Nd 0.2679 0.2679 0.2682  3 Pt 2.96-3.01
Nd 0.3663 0.3663 0.8126  3 Pt 2.89-2.97
Nd 0.6337 0.6337 0.1874  3 Pt 2.89-2.97
Nd 0.7321 0.7321 0.7318  3 Pt 2.96-3.01
Sm 0.4109 0.4109 0.3449  4 Pt 2.86-3.04
Sm 0.5891 0.5891 0.6551  4 Pt 2.86-3.04
Pt 0.1687 0.1687 0.4927  5 Nd 2.96-3.01, 2 Sm 3.04
Pt 0.4751 0.4751 0.6955  2 Sm 2.86-2.89, 3 Nd 2.89-2.91, 1 Pt 3.06
Pt 0.5249 0.5249 0.3045  2 Sm 2.86-2.89, 3 Nd 2.89-2.91, 1 Pt 3.06
Pt 0.8313 0.8313 0.5073  5 Nd 2.96-3.01, 2 Sm 3.04

Properties
space-group type = C2/m

[8]
Computed, not measured: crystalline Nd3SmPt8 at its relaxed geometry at the GGA-PBE level of DFT.

a = 9.5490 Å, b = 9.5490 Å, c = 9.5490 Å
α = 33.53°, β = 33.53°, γ = 33.53°
With the nearest neighbours (Å) after each atom.
Element x y z (fractional)
Nd 0.0000 0.0000 0.0000  12 Pt 3.23-3.24, 4 Nd 3.38-3.39
Nd 0.1253 0.1253 0.1253  12 Pt 3.22-3.23, 3 Sm 3.37, 1 Nd 3.39
Nd 0.6248 0.6248 0.6248  12 Pt 3.23-3.25, 1 Sm 3.37, 3 Nd 3.38
Sm 0.4999 0.4999 0.4999  12 Pt 3.22-3.23, 4 Nd 3.37
Pt 0.0623 0.0623 0.5621  6 Pt 2.75-2.76
Pt 0.0623 0.5621 0.0623  6 Pt 2.75-2.76
Pt 0.0633 0.5625 0.5625  6 Pt 2.75-2.76
Pt 0.3125 0.3125 0.3125  6 Pt 2.76
Pt 0.5621 0.0623 0.0623  6 Pt 2.75-2.76
Pt 0.5625 0.0633 0.5625  6 Pt 2.75-2.76
Pt 0.5625 0.5625 0.0633  6 Pt 2.75-2.76
Pt 0.8126 0.8126 0.8126  6 Pt 2.75

Properties
space-group type = R3m

[9]
Computed, not measured: crystalline Nd2SmPt at its relaxed geometry at the GGA-PBE level of DFT.

a = 7.2304 Å, b = 10.0642 Å, c = 6.6319 Å
α = 90.00°, β = 90.00°, γ = 90.00°
With the nearest neighbours (Å) after each atom.
Element x y z (fractional)
Nd 0.1794 0.0618 0.1736  2 Pt 2.96-2.98
Nd 0.1794 0.4382 0.1736  2 Pt 2.96-2.98
Nd 0.3206 0.5618 0.6736  2 Pt 2.96-2.98
Nd 0.3206 0.9382 0.6736  2 Pt 2.96-2.98
Nd 0.6794 0.0618 0.3264  2 Pt 2.96-2.98
Nd 0.6794 0.4382 0.3264  2 Pt 2.96-2.98
Nd 0.8206 0.5618 0.8264  2 Pt 2.96-2.98
Nd 0.8206 0.9382 0.8264  2 Pt 2.96-2.98
Sm 0.0282 0.2500 0.6422  2 Pt 2.89-2.96
Sm 0.4718 0.7500 0.1422  2 Pt 2.89-2.96
Sm 0.5282 0.2500 0.8578  2 Pt 2.89-2.96
Sm 0.9718 0.7500 0.3578  2 Pt 2.89-2.96
Pt 0.1170 0.7500 0.9408  2 Sm 2.89-2.96, 4 Nd 2.96-2.98
Pt 0.3830 0.2500 0.4408  2 Sm 2.89-2.96, 4 Nd 2.96-2.98
Pt 0.6170 0.7500 0.5592  2 Sm 2.89-2.96, 4 Nd 2.96-2.98
Pt 0.8830 0.2500 0.0592  2 Sm 2.89-2.96, 4 Nd 2.96-2.98

Properties
space-group type = Pnma

[10]
Computed, not measured: crystalline Nd5SmPt4 at its relaxed geometry at the GGA-PBE level of DFT.

a = 9.3605 Å, b = 9.3605 Å, c = 8.1725 Å
α = 106.18°, β = 106.18°, γ = 26.15°
With the nearest neighbours (Å) after each atom.
Element x y z (fractional)
Nd 0.0000 0.0000 0.0000  4 Pt 2.91
Nd 0.3339 0.3339 0.6359  4 Pt 2.91-2.93
Nd 0.3345 0.3345 0.1505  3 Pt 2.87-2.88
Nd 0.6655 0.6655 0.8495  3 Pt 2.87-2.88
Nd 0.6661 0.6661 0.3641  4 Pt 2.91-2.93
Sm 0.0000 0.0000 0.5000  6 Pt 2.97-3.01
Pt 0.1720 0.1720 0.6151  5 Nd 2.88-2.93, 1 Sm 3.01
Pt 0.4985 0.4985 0.2441  4 Nd 2.87-2.93, 2 Sm 2.97
Pt 0.5015 0.5015 0.7559  4 Nd 2.87-2.93, 2 Sm 2.97
Pt 0.8280 0.8280 0.3849  5 Nd 2.88-2.93, 1 Sm 3.01

Properties
space-group type = C2/m

[11]
Computed, not measured: crystalline Nd2Sm2Pt15 at its relaxed geometry at the GGA-PBE level of DFT.

a = 7.1465 Å, b = 7.1465 Å, c = 7.1465 Å
α = 82.52°, β = 82.52°, γ = 82.52°
With the nearest neighbours (Å) after each atom.
Element x y z (fractional)
Nd 0.1065 0.1065 0.1065  6 Pt 2.85-2.96, 1 Nd 2.96
Nd 0.8935 0.8935 0.8935  6 Pt 2.85-2.96, 1 Nd 2.96
Sm 0.3628 0.3628 0.3628  12 Pt 3.18-3.34, 1 Nd 3.56
Sm 0.6372 0.6372 0.6372  12 Pt 3.18-3.34, 1 Nd 3.56
Pt 0.0000 0.0000 0.5000  8 Pt 2.76, 2 Nd 2.85
Pt 0.0000 0.3188 0.6812  8 Pt 2.76-3.01
Pt 0.0000 0.5000 0.0000  8 Pt 2.76, 2 Nd 2.85
Pt 0.0000 0.6812 0.3188  8 Pt 2.76-3.01
Pt 0.1664 0.6524 0.6524  8 Pt 2.66-2.88, 1 Nd 2.96
Pt 0.3188 0.0000 0.6812  8 Pt 2.76-3.01
Pt 0.3188 0.6812 0.0000  8 Pt 2.76-3.01
Pt 0.3476 0.3476 0.8336  8 Pt 2.66-2.88, 1 Nd 2.96
Pt 0.3476 0.8336 0.3476  8 Pt 2.66-2.88, 1 Nd 2.96
Pt 0.5000 0.0000 0.0000  8 Pt 2.76, 2 Nd 2.85
Pt 0.6524 0.1664 0.6524  8 Pt 2.66-2.88, 1 Nd 2.96
Pt 0.6524 0.6524 0.1664  8 Pt 2.66-2.88, 1 Nd 2.96
Pt 0.6812 0.0000 0.3188  8 Pt 2.76-3.01
Pt 0.6812 0.3188 0.0000  8 Pt 2.76-3.01
Pt 0.8336 0.3476 0.3476  8 Pt 2.66-2.88, 1 Nd 2.96

Properties
space-group type = R-3m

[12]
Computed, not measured: crystalline Nd2SmPt at its relaxed geometry at the GGA-PBE level of DFT.

a = 4.0179 Å, b = 4.0179 Å, c = 28.0258 Å
α = 90.00°, β = 90.00°, γ = 120.00°
With the nearest neighbours (Å) after each atom.
Element x y z (fractional)
Nd 0.0000 0.0000 0.0000  3 Pt 2.90
Nd 0.0000 0.0000 0.2099  3 Pt 2.89
Nd 0.3333 0.6667 0.6667  3 Pt 2.90
Nd 0.3333 0.6667 0.8765  3 Pt 2.89
Nd 0.6667 0.3333 0.3333  3 Pt 2.90
Nd 0.6667 0.3333 0.5432  3 Pt 2.89
Sm 0.0000 0.0000 0.4391  6 Nd 3.73-3.76, 6 Sm 4.02
Sm 0.3333 0.6667 0.1058  6 Nd 3.73-3.76, 6 Sm 4.02
Sm 0.6667 0.3333 0.7724  6 Nd 3.73-3.76, 6 Sm 4.02
Pt 0.0000 0.0000 0.6044  6 Nd 2.89-2.90
Pt 0.3333 0.6667 0.2711  6 Nd 2.89-2.90
Pt 0.6667 0.3333 0.9378  6 Nd 2.89-2.90

Properties
space-group type = R3m

Number 1: energy of formation -6.5 eV/f.u.. Number 2: energy of formation -4.1 eV/f.u.. Number 3: energy of formation -1.8 eV/f.u.. Number 4: energy of formation -7.0 eV/f.u.. Number 5: energy of formation -4.6 eV/f.u.. Number 6: energy of formation -2.2 eV/f.u.. Number 7: energy of formation -6.9 eV/f.u.. Number 8: energy of formation -12.8 eV/f.u.. Number 9: energy of formation -2.5 eV/f.u.. Number 10: energy of formation -8.6 eV/f.u.. Number 11: energy of formation -12.8 eV/f.u.. Number 12: energy of formation -1.8 eV/f.u..